# 1
VASP calculation (GGA-PBE) on crystalline MnTl at its relaxed geometry.

abc: 4.8277 4.8277 5.4171
angles: 90.00 90.00 120.00
Element x y z (fractional)
Mn1 0.3333 0.6667 0.2500
Mn2 0.6667 0.3333 0.7500
Tl1 0.3333 0.6667 0.7500
Tl2 0.6667 0.3333 0.2500

# 2
VASP calculation (GGA-PBE) on crystalline MnTl2 at its relaxed geometry.

abc: 6.6720 6.6720 6.6720
angles: 150.40 150.40 42.36
Element x y z (fractional)
Mn1 0.0000 0.0000 0.0000
Tl1 0.3541 0.3541 0.0000
Tl2 0.6459 0.6459 0.0000

# 3
VASP calculation (GGA-PBE) on crystalline MnTl2 at its relaxed geometry.

abc: 9.5653 9.5653 4.7679
angles: 90.00 90.00 160.12
Element x y z (fractional)
Mn1 0.0614 0.9386 0.7500
Mn2 0.9386 0.0614 0.2500
Tl1 0.2979 0.7021 0.2500
Tl2 0.4241 0.5759 0.7500
Tl3 0.5759 0.4241 0.2500
Tl4 0.7021 0.2979 0.7500

# 4
VASP calculation (GGA-PBE) on crystalline MnTl at its relaxed geometry.

abc: 6.0792 6.0792 6.0792
angles: 98.82 98.82 133.89
Element x y z (fractional)
Mn1 0.1367 0.1367 0.2734
Mn2 0.1367 0.8633 0.0000
Mn3 0.8633 0.1367 0.0000
Mn4 0.8633 0.8633 0.7266
Tl1 0.2178 0.5000 0.7178
Tl2 0.5000 0.2178 0.7178
Tl3 0.5000 0.7822 0.2822
Tl4 0.7822 0.5000 0.2822

# 5
VASP calculation (GGA-PBE) on crystalline MnTl at its relaxed geometry.

abc: 8.4262 7.9603 5.1336
angles: 76.76 66.87 36.37
Element x y z (fractional)
Mn1 0.0332 0.0332 0.2168
Mn2 0.2168 0.2168 0.0332
Mn3 0.7832 0.7832 0.9668
Mn4 0.9668 0.9668 0.7832
Tl1 0.1959 0.5541 0.1959
Tl2 0.4459 0.8041 0.4459
Tl3 0.5541 0.1959 0.5541
Tl4 0.8041 0.4459 0.8041

# 6
VASP calculation (GGA-PBE) on crystalline MnTl at its relaxed geometry.

abc: 6.5864 6.7074 7.7953
angles: 90.00 90.00 90.00
Element x y z (fractional)
Mn1 0.0297 0.0383 0.4050
Mn2 0.2225 0.2155 0.1049
Mn3 0.2775 0.7845 0.6049
Mn4 0.4703 0.9617 0.9050
Mn5 0.5297 0.4617 0.5950
Mn6 0.7225 0.2845 0.8951
Mn7 0.7775 0.7155 0.3951
Mn8 0.9703 0.5383 0.0950
Tl1 0.1204 0.1424 0.7544
Tl2 0.1492 0.4499 0.4142
Tl3 0.3508 0.5501 0.9142
Tl4 0.3796 0.8576 0.2544
Tl5 0.6204 0.3576 0.2456
Tl6 0.6492 0.0501 0.5858
Tl7 0.8508 0.9499 0.0858
Tl8 0.8796 0.6424 0.7456

# 7
VASP calculation (GGA-PBE) on crystalline Mn4Tl at its relaxed geometry.

abc: 5.0565 5.0565 5.0565
angles: 90.00 90.00 90.00
Element x y z (fractional)
Mn1 0.0000 0.0000 0.0000
Mn2 0.0000 0.5000 0.5000
Mn3 0.5000 0.0000 0.5000
Mn4 0.5000 0.5000 0.0000
Tl1 0.5000 0.5000 0.5000

# 8
VASP calculation (GGA-PBE) on crystalline MnTl2 at its relaxed geometry.

abc: 6.9727 7.2751 3.2138
angles: 90.00 90.00 90.00
Element x y z (fractional)
Mn1 0.0000 0.0000 0.0000
Mn2 0.5000 0.5000 0.5000
Tl1 0.2385 0.2975 0.0000
Tl2 0.2615 0.7975 0.5000
Tl3 0.7385 0.2025 0.5000
Tl4 0.7615 0.7025 0.0000

# 9
VASP calculation (GGA-PBE) on crystalline Mn3Tl at its relaxed geometry.

abc: 5.3407 5.3407 5.3407
angles: 116.81 116.81 116.81
Element x y z (fractional)
Mn1 0.0000 0.5000 0.5000
Mn2 0.5000 0.0000 0.5000
Mn3 0.5000 0.5000 0.0000
Tl1 0.0000 0.0000 0.0000

# 10
VASP calculation (GGA-PBE) on crystalline MnTl2 at its relaxed geometry.

abc: 6.2188 6.2188 6.2188
angles: 60.00 60.00 60.00
Element x y z (fractional)
Mn1 0.1250 0.1250 0.1250
Mn2 0.8750 0.8750 0.8750
Tl1 0.0000 0.5000 0.5000
Tl2 0.5000 0.0000 0.5000
Tl3 0.5000 0.5000 0.0000
Tl4 0.5000 0.5000 0.5000

# 11
VASP calculation (GGA-PBE) on crystalline MnTl3 at its relaxed geometry.

abc: 3.4733 4.7250 6.4525
angles: 90.00 99.62 90.00
Element x y z (fractional)
Mn1 0.0000 0.0000 0.0000
Tl1 0.0000 0.0000 0.5000
Tl2 0.3907 0.5000 0.2273
Tl3 0.6093 0.5000 0.7727

# 12
VASP calculation (GGA-PBE) on crystalline MnTl3 at its relaxed geometry.

abc: 5.3390 5.3390 3.6795
angles: 90.00 90.00 90.00
Element x y z (fractional)
Mn1 0.0000 0.0000 0.0000
Tl1 0.0000 0.5000 0.5000
Tl2 0.5000 0.0000 0.5000
Tl3 0.5000 0.5000 0.0000

no.,energy of formation (meV/atom)
1,900
2,428
3,387
4,686
5,706
6,558
7,1590
8,463
9,642
10,795
11,376
12,394